# 1
Here is a geometry-optimized La2Sm3Sn4 structure from Alexandria via LeMat-Bulk. Energies are from PBE.

Cell lengths 8.2178, 8.5053, 8.5354 Å; angles 90.00, 90.00, 109.85 degrees
Closest atoms and distances in Å follow each position.
Atoms (fractional coordinates):
Sm: 0.2442 0.2473 0.6705  6 Sn 3.11-3.29
La: 0.9334 0.8068 0.8215  6 Sn 3.28-3.61
Sn: 0.3651 0.4885 0.3672  1 Sn 3.13, 5 Sm 3.17-3.31, 2 La 3.28-3.47
Sm: 0.5000 0.5000 0.0000  6 Sn 3.24-3.36
La: 0.0666 0.1932 0.1785  6 Sn 3.28-3.61
La: 0.5666 0.1932 0.3215  6 Sn 3.28-3.61
Sn: 0.6349 0.5115 0.6328  1 Sn 3.13, 5 Sm 3.17-3.31, 2 La 3.28-3.47
Sn: 0.8651 0.4885 0.1328  1 Sn 3.13, 5 Sm 3.17-3.31, 2 La 3.28-3.47
Sn: 0.8465 0.0816 0.5377  4 Sm 3.11-3.36, 1 La 3.33, 1 Sn 3.33
Sm: 0.7442 0.2473 0.8295  6 Sn 3.11-3.29
Sn: 0.3465 0.0816 0.9623  4 Sm 3.11-3.36, 1 La 3.33, 1 Sn 3.33
Sm: 0.7558 0.7527 0.3295  6 Sn 3.11-3.29
Sn: 0.1349 0.5115 0.8672  1 Sn 3.13, 5 Sm 3.17-3.31, 2 La 3.28-3.47
La: 0.4334 0.8068 0.6785  6 Sn 3.28-3.61
Sm: 0.2558 0.7527 0.1705  6 Sn 3.11-3.29
Sn: 0.1535 0.9184 0.4623  4 Sm 3.11-3.36, 1 La 3.33, 1 Sn 3.33
Sn: 0.6535 0.9184 0.0377  4 Sm 3.11-3.36, 1 La 3.33, 1 Sn 3.33
Sm: 0.0000 0.5000 0.5000  6 Sn 3.24-3.36

The value obtained for the calculated formation energy is -701 kJ/mol of formula units. The value obtained for the final energy is -5.255 eV/atom. Its total magnetization is 0.00 Bohr magnetons per cell.

---

# 2
Here is a geometry-optimized Tb2TmSc4 structure from Alexandria via LeMat-Bulk. Energies are from PBE.

Cell lengths 3.3680, 7.6390, 7.6390 Å; angles 87.87, 90.00, 90.00 degrees
Closest atoms and distances in Å follow each position.
Atoms (fractional coordinates):
Sc: 0.0000 0.2303 0.2303  6 Sc 3.15-3.37, 2 Tb 3.28, 2 Tm 3.41
Sc: 0.0000 0.7697 0.7697  6 Sc 3.15-3.37, 2 Tb 3.28, 2 Tm 3.41
Tb: 0.0000 0.1968 0.8032  6 Sc 3.27-3.28, 2 Tb 3.37, 2 Tm 3.63
Tb: 0.0000 0.8032 0.1968  6 Sc 3.27-3.28, 2 Tb 3.37, 2 Tm 3.63
Sc: 0.5000 0.5000 0.0000  6 Sc 3.15-3.37, 4 Tb 3.27
Tm: 0.5000 0.5000 0.5000  2 Tm 3.37, 4 Sc 3.41, 4 Tb 3.63
Sc: 0.5000 0.0000 0.5000  6 Sc 3.15-3.37, 4 Tb 3.27

The value obtained for the calculated formation energy is 119 kJ/mol of formula units. The value obtained for the final energy is -5.403 eV/atom. Its total magnetization is 0.00 Bohr magnetons per cell.

---

# 3
Here is a geometry-optimized KFe2Ni structure from Alexandria via LeMat-Bulk. Energies are from PBE.

Cell lengths 4.2771, 4.2771, 7.0033 Å; angles 85.13, 85.13, 37.25 degrees
Closest atoms and distances in Å follow each position.
Atoms (fractional coordinates):
Fe: 0.0006 0.0006 0.0121  3 Ni 2.41-2.42, 3 Fe 2.44-2.56
Ni: 0.2702 0.2702 0.1364  5 Fe 2.41-2.42
K: 0.5042 0.5042 0.4911  2 K 2.73
Fe: 0.7251 0.7251 0.8604  2 Ni 2.42, 3 Fe 2.44-2.56

The value obtained for the calculated formation energy is 247 kJ/mol of formula units. The value obtained for the final energy is -5.310 eV/atom. Its total magnetization is 6.12 Bohr magnetons per cell.

---

# 4
Here is a geometry-optimized HfGaAgPd structure from Alexandria via LeMat-Bulk. Energies are from PBE.

Cell lengths 4.5989, 4.5989, 4.5989 Å; angles 60.00, 60.00, 60.00 degrees
Closest atoms and distances in Å follow each position.
Atoms (fractional coordinates):
Ga: 0.0000 0.0000 0.0000  4 Ag 2.82, 4 Pd 2.82
Pd: 0.7500 0.7500 0.7500  4 Ga 2.82, 4 Hf 2.82
Ag: 0.2500 0.2500 0.2500  4 Hf 2.82, 4 Ga 2.82
Hf: 0.5000 0.5000 0.5000  4 Pd 2.82, 4 Ag 2.82

The value obtained for the calculated formation energy is -152 kJ/mol of formula units. The value obtained for the final energy is -5.651 eV/atom. Its total magnetization is 0.00 Bohr magnetons per cell.